Entry 1:
Entry from Alexandria via LeMat-Bulk: a PBEsol-optimized structure of LaAl3Os (meta-GGA SCAN).

abc: 5.214 5.214 5.214
angles: 90.00 90.00 90.00
Site moments in Bohr magnetons follow the coordinates.
Atoms (fractional coordinates):
Al 0.000 0.500 0.000  0.01
Al 0.000 0.000 0.500  0.01
Os 0.500 0.500 0.500  -2.23
Al 0.500 0.000 0.000  0.01
La 0.000 0.000 0.000  0.06

The energy of formation comes out at 2.467 eV/atom. The space group is No. 221. As for the raw total energy: -25.18 eV/atom.

---

Entry 2:
Entry from Alexandria via LeMat-Bulk: a PBEsol-optimized structure of ReRuBr2 (meta-GGA SCAN).

abc: 2.907 3.066 8.646
angles: 90.00 90.00 118.30
Site moments in Bohr magnetons follow the coordinates.
Atoms (fractional coordinates):
Ru 0.500 0.000 0.000  0.96
Br 0.000 0.000 0.249  0.05
Re 0.500 0.000 0.500  0.81
Br 0.000 0.000 0.751  0.05

The value obtained for the uncorrected formation energy is 1.3977 eV per atom. The space group is No. 65. The calculation puts the distance to the lowest polymorph of the same formula at 0.0 meV per atom. As for the raw total energy: -34.81 eV/atom.

---

Entry 3:
Entry from Alexandria via LeMat-Bulk: a PBEsol-optimized structure of K2CoNi (meta-GGA SCAN).

abc: 3.861 3.862 9.485
angles: 100.97 90.00 119.99
Site moments in Bohr magnetons follow the coordinates.
Atoms (fractional coordinates):
K 0.206 0.412 0.635  -0.02
Ni 0.458 0.917 0.375  0.69
Co 0.792 0.583 0.375  1.80
K 0.044 0.088 0.115  -0.02

The energy of formation comes out at 0.570 eV/atom. The space group is No. 8. The calculation puts the distance to the lowest polymorph of the same formula at 0.0 meV per atom. As for the raw total energy: -11.96 eV/atom.

---

Entry 4:
Entry from Alexandria via LeMat-Bulk: a PBEsol-optimized structure of NaHf3Hg (meta-GGA SCAN).

abc: 4.854 4.854 4.854
angles: 90.00 90.00 90.00
Atoms (fractional coordinates):
Hf 0.500 0.000 0.000
Hf 0.000 0.500 0.000
Hf 0.000 0.000 0.500
Na 0.000 0.000 0.000
Hg 0.500 0.500 0.500

The energy of formation comes out at 1.555 eV/atom. The space group is No. 221. As for the raw total energy: -50.52 eV/atom.

---

Entry 5:
Entry from Alexandria via LeMat-Bulk: a PBEsol-optimized structure of TaIn2Pb (meta-GGA SCAN).

abc: 3.102 5.503 5.503
angles: 111.03 90.00 90.00
Atoms (fractional coordinates):
Pb 0.500 0.000 0.000
In 0.000 0.000 0.500
In 0.000 0.500 0.000
Ta 0.500 0.500 0.500

The energy of formation comes out at 0.430 eV/atom. The space group is No. 65. As for the raw total energy: -51.85 eV/atom.

---

Entry 6:
Entry from Alexandria via LeMat-Bulk: a PBEsol-optimized structure of In2Rh (meta-GGA SCAN).

abc: 3.405 5.240 7.171
angles: 73.10 76.27 71.04
Atoms (fractional coordinates):
Rh 0.860 0.099 0.180
Rh 0.140 0.901 0.820
In 0.596 0.679 0.129
In 0.404 0.321 0.871
In 0.844 0.750 0.562
In 0.156 0.250 0.438

The energy of formation comes out at -0.309 eV/atom. The space group is No. 12. As for the raw total energy: -33.82 eV/atom.

---

Entry 7:
Entry from Alexandria via LeMat-Bulk: a PBEsol-optimized structure of AlGeP2Cl (meta-GGA SCAN).

abc: 4.531 4.682 4.682
angles: 90.00 90.00 90.00
Atoms (fractional coordinates):
P 0.000 0.000 0.500
Cl 0.500 0.000 0.000
Al 0.000 0.000 0.000
Ge 0.500 0.500 0.500
P 0.000 0.500 0.000

The value obtained for the uncorrected formation energy is 0.3413 eV per atom. The space group is No. 123. The calculation puts the distance to the lowest polymorph of the same formula at 0.0 meV per atom. As for the raw total energy: -10.78 eV/atom.

---

Entry 8:
Entry from Alexandria via LeMat-Bulk: a PBEsol-optimized structure of NiPt2Rh (meta-GGA SCAN).

abc: 2.693 4.629 4.629
angles: 109.28 90.00 90.00
Site moments in Bohr magnetons follow the coordinates.
Atoms (fractional coordinates):
Rh 0.500 0.000 0.000  0.22
Pt 0.000 0.500 0.000  0.15
Ni 0.500 0.500 0.500  1.24
Pt 0.000 0.000 0.500  0.15

The energy of formation comes out at -0.145 eV/atom. The space group is No. 65. As for the raw total energy: -47.73 eV/atom.